[1]
Sn5HgAu2, optimized geometry, DFT PBE; energy of formation = -0.32 eV/f.u.; raw total energy = -3.40 eV per atom; magnetization = 0.00 μB/cell; V = 209.9 Å³/cell
1.0
-2.0437 3.5836 7.1653
2.0437 -3.5836 7.1653
2.0437 3.5836 -7.1653
Sn Hg Au
5 1 2
Direct
0.0000 0.0000 0.0000
0.1248 0.3611 0.7637
0.4026 0.6389 0.7637
0.5974 0.3611 0.2363
0.8752 0.6389 0.2363
0.5000 0.0000 0.5000
0.2020 0.2020 0.0000
0.7980 0.7980 0.0000

[2]
NaHo2H, optimized geometry, DFT PBE; raw total energy = -3.48 eV per atom; magnetization = 0.00 μB/cell; V = 102.0 Å³/cell
1.0
1.7564 1.0141 9.5460
-1.7564 1.0141 9.5460
0.0000 -2.0281 9.5460
Na Ho H
1 2 1
Direct
0.0000 0.0000 0.0000
0.1207 0.1207 0.1207
0.8793 0.8793 0.8793
0.5000 0.5000 0.5000

[3]
Dy2AlNi, optimized geometry, DFT PBE; energy of formation = 1.13 eV/f.u.; distance to the lowest polymorph of the same formula = 2.70 eV per formula unit; raw total energy = -4.40 eV per atom; magnetization = 0.00 μB/cell; V = 93.4 Å³/cell
1.0
1.6587 0.9576 9.7980
-1.6587 0.9576 9.7980
0.0000 -1.9153 9.7980
Dy Al Ni
2 1 1
Direct
0.0858 0.0858 0.0858
0.9142 0.9142 0.9142
0.5000 0.5000 0.5000
0.0000 0.0000 0.0000

[4]
Zn5Ag3Cl12, optimized geometry, DFT PBE; raw total energy = -2.63 eV per atom; E_form (uncorrected) = -0.77 eV/atom; magnetization = 0.00 μB/cell; V = 1902.2 Å³/cell
1.0
-7.8055 7.8055 7.8055
7.8055 -7.8055 7.8055
7.8055 7.8055 -7.8055
Zn Ag Cl
20 12 48
Direct
0.0000 0.0000 0.0000
0.0000 0.0000 0.5000
0.0000 0.5000 0.0000
0.0000 0.5000 0.5000
0.1250 0.7500 0.8750
0.1250 0.8750 0.2500
0.2500 0.1250 0.8750
0.2500 0.6250 0.3750
0.3750 0.2500 0.6250
0.3750 0.6250 0.7500
0.5000 0.0000 0.0000
0.5000 0.0000 0.5000
0.5000 0.5000 0.0000
0.5000 0.5000 0.5000
0.6250 0.3750 0.2500
0.6250 0.7500 0.3750
0.7500 0.3750 0.6250
0.7500 0.8750 0.1250
0.8750 0.1250 0.7500
0.8750 0.2500 0.1250
0.1250 0.2500 0.3750
0.1250 0.3750 0.7500
0.2500 0.3750 0.1250
0.2500 0.8750 0.6250
0.3750 0.1250 0.2500
0.3750 0.7500 0.1250
0.6250 0.2500 0.8750
0.6250 0.8750 0.7500
0.7500 0.1250 0.3750
0.7500 0.6250 0.8750
0.8750 0.6250 0.2500
0.8750 0.7500 0.6250
0.0257 0.2055 0.1211
0.0257 0.3202 0.9046
0.0844 0.7055 0.6798
0.0844 0.8789 0.4046
0.0954 0.6211 0.4156
0.0954 0.9743 0.6798
0.1211 0.0257 0.2055
0.1211 0.5954 0.9156
0.1798 0.2055 0.5844
0.1798 0.4743 0.5954
0.2055 0.1211 0.0257
0.2055 0.5844 0.1798
0.2945 0.3202 0.9156
0.2945 0.4743 0.3789
0.3202 0.9046 0.0257
0.3202 0.9156 0.2945
0.3789 0.2945 0.4743
0.3789 0.5844 0.9046
0.4046 0.0844 0.8789
0.4046 0.8202 0.5257
0.4156 0.0954 0.6211
0.4156 0.8202 0.7945
0.4743 0.3789 0.2945
0.4743 0.5954 0.1798
0.5257 0.4046 0.8202
0.5257 0.6211 0.7055
0.5844 0.1798 0.2055
0.5844 0.9046 0.3789
0.5954 0.1798 0.4743
0.5954 0.9156 0.1211
0.6211 0.4156 0.0954
0.6211 0.7055 0.5257
0.6798 0.0844 0.7055
0.6798 0.0954 0.9743
0.7055 0.5257 0.6211
0.7055 0.6798 0.0844
0.7945 0.4156 0.8202
0.7945 0.8789 0.9743
0.8202 0.5257 0.4046
0.8202 0.7945 0.4156
0.8789 0.4046 0.0844
0.8789 0.9743 0.7945
0.9046 0.0257 0.3202
0.9046 0.3789 0.5844
0.9156 0.1211 0.5954
0.9156 0.2945 0.3202
0.9743 0.6798 0.0954
0.9743 0.7945 0.8789

[5]
Ca2ScCd, optimized geometry, DFT PBE; energy of formation = 0.29 eV/f.u.; raw total energy = -2.74 eV per atom; magnetization = 0.54 μB/cell; V = 126.2 Å³/cell
1.0
1.8414 1.0631 10.7413
-1.8414 1.0631 10.7413
0.0000 -2.1262 10.7413
Ca Sc Cd
2 1 1
Direct
0.2447 0.2447 0.2447
0.7553 0.7553 0.7553
0.0000 0.0000 0.0000
0.5000 0.5000 0.5000

[6]
Rb2US2I4, optimized geometry, DFT PBE; raw total energy = -4.17 eV per atom; E_form (uncorrected) = -1.09 eV/atom; magnetization = 0.00 μB/cell; V = 373.3 Å³/cell
1.0
6.7028 -4.1844 0.0000
6.7028 4.1844 0.0000
-1.2809 0.0000 6.6543
Rb U S I
2 1 2 4
Direct
0.1648 0.1648 0.2879
0.8352 0.8352 0.7121
0.5000 0.5000 0.0000
0.3597 0.3597 0.7329
0.6403 0.6403 0.2671
0.1439 0.6559 0.2075
0.3441 0.8561 0.7925
0.6559 0.1439 0.2075
0.8561 0.3441 0.7925

[7]
La2Al4AgGe3, optimized geometry, DFT PBE; energy of formation = -3.80 eV/f.u.; raw total energy = -4.53 eV per atom; magnetization = 0.00 μB/cell; V = 209.9 Å³/cell
1.0
4.2692 0.0000 0.0000
0.0000 4.2692 0.0000
0.0000 0.0000 11.5174
La Al Ag Ge
2 4 1 3
Direct
0.0000 0.5000 0.2496
0.5000 0.0000 0.7504
0.0000 0.0000 0.0000
0.0000 0.5000 0.6327
0.5000 0.0000 0.3673
0.5000 0.5000 0.0000
0.0000 0.0000 0.5000
0.0000 0.5000 0.8579
0.5000 0.0000 0.1421
0.5000 0.5000 0.5000

[8]
NaSm2Lu, optimized geometry, DFT PBE; energy of formation = 0.46 eV/f.u.; distance to the lowest polymorph of the same formula = 0.00 eV per formula unit; raw total energy = -3.71 eV per atom; magnetization = 0.00 μB/cell; V = 132.4 Å³/cell
1.0
3.4947 0.0000 0.0000
0.0000 3.4947 0.0000
0.0000 0.0000 10.8390
Na Sm Lu
1 2 1
Direct
0.0000 0.0000 0.0000
0.5000 0.5000 0.2691
0.5000 0.5000 0.7309
0.0000 0.0000 0.5000

[9]
MnTlTc2P, optimized geometry, DFT PBE; energy of formation = 14.15 eV/f.u.; raw total energy = -4.71 eV per atom; magnetization = 6.26 μB/cell; V = 128.3 Å³/cell
1.0
5.1327 0.0000 0.0000
0.0000 5.1327 0.0000
0.0000 0.0000 4.8706
Mn Tl Tc P
1 1 2 1
Direct
0.0000 0.0000 0.0000
0.5000 0.5000 0.5000
0.0000 0.5000 0.5000
0.5000 0.0000 0.5000
0.5000 0.5000 0.0000

[10]
CdMo3C, optimized geometry, DFT PBE; energy of formation = 1.40 eV/f.u.; distance to the lowest polymorph of the same formula = 0.00 eV per formula unit; raw total energy = -8.25 eV per atom; magnetization = 0.00 μB/cell; V = 74.8 Å³/cell
1.0
4.2131 0.0000 0.0000
0.0000 4.2131 0.0000
0.0000 0.0000 4.2131
Cd Mo C
1 3 1
Direct
0.0000 0.0000 0.0000
0.0000 0.5000 0.5000
0.5000 0.0000 0.5000
0.5000 0.5000 0.0000
0.5000 0.5000 0.5000

[11]
TlFe3Sn, optimized geometry, DFT PBE; energy of formation = 6.02 eV/f.u.; distance to the lowest polymorph of the same formula = 0.00 eV per formula unit; raw total energy = -5.15 eV per atom; magnetization = 8.86 μB/cell; V = 116.5 Å³/cell
1.0
4.8843 0.0000 0.0000
0.0000 4.8843 0.0000
0.0000 0.0000 4.8843
Tl Fe Sn
1 3 1
Direct
0.0000 0.0000 0.0000
0.0000 0.5000 0.5000
0.5000 0.0000 0.5000
0.5000 0.5000 0.0000
0.5000 0.5000 0.5000

[12]
AlTl2SnIr, optimized geometry, DFT PBE; energy of formation = 1.82 eV/f.u.; raw total energy = -3.90 eV per atom; magnetization = 0.00 μB/cell; V = 143.8 Å³/cell
1.0
5.2902 0.0000 0.0000
0.0000 5.2902 0.0000
0.0000 0.0000 5.1371
Al Tl Sn Ir
1 2 1 1
Direct
0.0000 0.0000 0.0000
0.0000 0.5000 0.5000
0.5000 0.0000 0.5000
0.5000 0.5000 0.0000
0.5000 0.5000 0.5000

[13]
CePu2ScTe4, optimized geometry, DFT PBE; raw total energy = -7.83 eV per atom; E_form (uncorrected) = -1.15 eV/atom; magnetization = 1.00 μB/cell; V = 238.4 Å³/cell
1.0
7.5056 0.0000 0.0000
0.0000 4.3568 0.0000
-2.5357 0.0000 7.2902
Ce Pu Sc Te
1 2 1 4
Direct
0.0000 0.0000 0.0000
0.5000 0.0000 0.5000
0.5000 0.5000 0.0000
0.0000 0.5000 0.5000
0.2385 0.0000 0.7359
0.2469 0.5000 0.2606
0.7531 0.5000 0.7394
0.7615 0.0000 0.2641

[14]
AcPmSmMg, optimized geometry, DFT PBE; energy of formation = -0.12 eV/f.u.; distance to the lowest polymorph of the same formula = 0.00 eV per formula unit; raw total energy = -3.82 eV per atom; magnetization = 0.00 μB/cell; V = 135.2 Å³/cell
1.0
3.8584 0.0000 0.0000
0.0000 3.8584 0.0000
0.0000 0.0000 9.0833
Ac Pm Sm Mg
1 1 1 1
Direct
0.0000 0.0000 0.0000
0.5000 0.5000 0.2889
0.5000 0.5000 0.7127
0.0000 0.0000 0.5023

[15]
TaAs2Ru, optimized geometry, DFT PBE; energy of formation = 0.01 eV/f.u.; distance to the lowest polymorph of the same formula = 0.85 eV per formula unit; raw total energy = -7.60 eV per atom; magnetization = 0.00 μB/cell; V = 64.7 Å³/cell
1.0
4.0414 -1.4929 0.0000
4.0414 1.4929 0.0000
-1.1960 0.0000 5.3647
Ta As Ru
1 2 1
Direct
0.0000 0.0000 0.0000
0.2439 0.2439 0.7354
0.7561 0.7561 0.2646
0.5000 0.5000 0.5000

[16]
Ce2Ge6OsRu, optimized geometry, DFT PBE; energy of formation = -1.86 eV/f.u.; raw total energy = -6.19 eV per atom; magnetization = 1.38 μB/cell; V = 440.5 Å³/cell
1.0
3.7220 2.1489 9.1789
-3.7220 2.1489 9.1789
0.0000 -4.2978 9.1789
Ce Ge Os Ru
4 12 2 2
Direct
0.1403 0.1403 0.1403
0.2917 0.2917 0.2917
0.7083 0.7083 0.7083
0.8597 0.8597 0.8597
0.1295 0.6103 0.6103
0.2026 0.2026 0.7602
0.2026 0.7602 0.2026
0.2398 0.7974 0.7974
0.3897 0.3897 0.8705
0.3897 0.8705 0.3897
0.6103 0.1295 0.6103
0.6103 0.6103 0.1295
0.7602 0.2026 0.2026
0.7974 0.2398 0.7974
0.7974 0.7974 0.2398
0.8705 0.3897 0.3897
0.3885 0.3885 0.3885
0.6115 0.6115 0.6115
0.0000 0.0000 0.0000
0.5000 0.5000 0.5000

[17]
Hf2ZrIn, optimized geometry, DFT PBE; energy of formation = -0.69 eV/f.u.; raw total energy = -7.97 eV per atom; magnetization = 0.00 μB/cell; V = 87.7 Å³/cell
1.0
4.4327 0.0000 0.0000
0.0000 4.4327 0.0000
0.0000 0.0000 4.4639
Hf Zr In
2 1 1
Direct
0.0000 0.5000 0.0000
0.5000 0.0000 0.0000
0.0000 0.0000 0.5000
0.5000 0.5000 0.5000

[18]
AcNdBiRh, optimized geometry, DFT PBE; energy of formation = -2.00 eV/f.u.; raw total energy = -5.53 eV per atom; magnetization = 0.00 μB/cell; V = 116.5 Å³/cell
1.0
0.0000 3.8762 3.8762
3.8762 0.0000 3.8762
3.8762 3.8762 0.0000
Ac Nd Bi Rh
1 1 1 1
Direct
0.0000 0.0000 0.0000
0.5000 0.5000 0.5000
0.2500 0.2500 0.2500
0.7500 0.7500 0.7500

[19]
Li2YTmTl4, optimized geometry, DFT PBE; energy of formation = -2.48 eV/f.u.; raw total energy = -3.34 eV per atom; magnetization = 0.00 μB/cell; V = 195.5 Å³/cell
1.0
2.5884 1.4944 8.4228
-2.5884 1.4944 8.4228
0.0000 -2.9888 8.4228
Li Y Tm Tl
2 1 1 4
Direct
0.2500 0.2500 0.2500
0.7500 0.7500 0.7500
0.0000 0.0000 0.0000
0.5000 0.5000 0.5000
0.1259 0.1259 0.1259
0.3759 0.3759 0.3759
0.6241 0.6241 0.6241
0.8741 0.8741 0.8741

[20]
SmBrN, optimized geometry, DFT PBE; raw total energy = -6.00 eV per atom; E_form (uncorrected) = -1.09 eV/atom; magnetization = 0.00 μB/cell; V = 141.2 Å³/cell
1.0
-1.8616 1.8616 10.1874
1.8616 -1.8616 10.1874
1.8616 1.8616 -10.1874
Sm Br N
2 2 2
Direct
0.0762 0.0762 0.0000
0.9238 0.9238 0.0000
0.3416 0.3416 0.0000
0.6584 0.6584 0.0000
0.0000 0.5000 0.5000
0.5000 0.0000 0.5000